Record 1
Material: PmPr2Sm
Method: DFT, PBE
State: optimized geometry

Unit cell a=5.8387 b=5.8387 c=5.8387 alpha=60.00 beta=60.00 gamma=60.00
Fractional coordinates of all 4 atoms:
Sm1 0.5000 0.5000 0.5000
Pr1 0.7500 0.7500 0.7500
Pm1 0.0000 0.0000 0.0000
Pr2 0.2500 0.2500 0.2500

Summary:
VASP energy = -4.63 eV/atom
DOS(E_F) = 9.86 states/eV per cell
ΔE_f = 0.127 eV/atom

Record 2
Material: Pm3Pr2Sm
Method: DFT, PBE
State: optimized geometry

Unit cell a=6.7140 b=3.5069 c=12.6540 alpha=97.96 beta=133.92 gamma=90.00
Fractional coordinates of all 6 atoms:
Pm1 0.2002 0.1711 0.3422
Sm1 0.0000 0.0000 0.0000
Pm2 0.5000 0.0000 0.0000
Pr1 0.3268 0.3384 0.6769
Pm3 0.7998 0.8289 0.6578
Pr2 0.6732 0.6616 0.3231

Summary:
VASP energy = -4.61 eV/atom
DOS(E_F) = 11.07 states/eV per cell
ΔE_f = 0.140 eV/atom